# 1
Crystalline CePdAu4 at its relaxed geometry. Source: the Alexandria database, functional PBE.

abc: 5.5423 5.5423 5.5423
angles: 60.00 60.00 60.00
Fractional coordinates of all 6 atoms:
Ce 0.2500 0.2500 0.2500
Au 0.6255 0.1234 0.6255
Au 0.6255 0.6255 0.6255
Au 0.1234 0.6255 0.6255
Au 0.6255 0.6255 0.1234
Pd 0.0000 0.0000 0.0000

Calculated values
Energy relative to the elements   -0.421 eV per atom
Crystal system   cubic
Calculated total energy   -4.460 eV per atom

***

# 2
Crystalline Ce3PdAu3 at its relaxed geometry. Source: the Alexandria database, functional PBE.

abc: 4.6170 3.7911 10.3310
angles: 100.57 102.91 90.00
Fractional coordinates of all 7 atoms:
Au 0.5656 0.5656 0.1312
Au 0.8464 0.3464 0.6927
Au 0.1563 0.6563 0.3127
Pd 0.4297 0.4297 0.8594
Ce 0.9966 0.9966 0.9932
Ce 0.6861 0.1861 0.3723
Ce 0.3193 0.8193 0.6385

Calculated values
Energy relative to the elements   -0.653 eV per atom
Crystal system   orthorhombic
Calculated total energy   -5.342 eV per atom

***

# 3
Crystalline Ce3Pd2Au3 at its relaxed geometry. Source: the Alexandria database, functional PBE.

abc: 4.0885 5.0590 9.7285
angles: 111.30 102.13 90.00
Fractional coordinates of all 8 atoms:
Pd 0.2390 0.3007 0.4780
Pd 0.7610 0.6993 0.5220
Ce 0.0000 0.0000 0.0000
Ce 0.1507 0.7026 0.3014
Ce 0.8493 0.2974 0.6986
Au 0.3729 0.8389 0.7457
Au 0.5000 0.5000 0.0000
Au 0.6271 0.1611 0.2543

Calculated values
Energy relative to the elements   -0.623 eV per atom
Crystal system   monoclinic
Calculated total energy   -5.375 eV per atom

***

# 4
Crystalline CePd2Au6 at its relaxed geometry. Source: the Alexandria database, functional PBE.

abc: 5.5729 5.5729 7.5954
angles: 90.00 90.00 120.00
Fractional coordinates of all 9 atoms:
Ce 0.0000 0.0000 0.0000
Pd 0.6667 0.3333 0.5000
Pd 0.3333 0.6667 0.5000
Au 0.0000 0.5001 0.2025
Au 0.4999 0.0000 0.7975
Au 0.5001 0.0000 0.2025
Au 0.4999 0.4999 0.2025
Au 0.0000 0.4999 0.7975
Au 0.5001 0.5001 0.7975

Calculated values
Energy relative to the elements   -0.112 eV per atom
Crystal system   hexagonal
Calculated total energy   -4.110 eV per atom

***

# 5
Crystalline CePd6Au8 at its relaxed geometry. Source: the Alexandria database, functional PBE.

abc: 4.9751 8.1056 8.1056
angles: 120.00 90.00 90.00
Fractional coordinates of all 15 atoms:
Au 0.9095 0.3232 0.0099
Au 0.0905 0.3133 0.3232
Au 0.9095 0.6867 0.6768
Au 0.1025 0.6667 0.3333
Au 0.0905 0.0099 0.6867
Au 0.0905 0.6768 0.9901
Au 0.9095 0.9901 0.3133
Au 0.8975 0.3333 0.6667
Pd 0.4189 0.5443 0.6812
Pd 0.5811 0.6812 0.1370
Pd 0.5811 0.4557 0.3188
Pd 0.4189 0.3188 0.8630
Pd 0.5811 0.8630 0.5443
Pd 0.4189 0.1370 0.4557
Ce 0.5000 0.0000 0.0000

Calculated values
Energy relative to the elements   -0.121 eV per atom
Crystal system   trigonal
Calculated total energy   -4.342 eV per atom

***

# 6
Crystalline CePmPdAu at its relaxed geometry. Source: the Alexandria database, functional PBE.

abc: 3.8518 4.6240 5.9374
angles: 90.00 108.93 90.00
Fractional coordinates of all 4 atoms:
Au 0.5848 0.5000 0.1697
Pd 0.4099 0.0000 0.8198
Ce 0.8643 0.5000 0.7286
Pm 0.1410 0.0000 0.2820

Calculated values
Energy relative to the elements   -0.740 eV per atom
Crystal system   orthorhombic
Calculated total energy   -5.529 eV per atom

***

# 7
Crystalline CePmPdAu at its relaxed geometry. Source: the Alexandria database, functional PBE.

abc: 5.1575 5.1575 5.1575
angles: 60.00 60.00 60.00
Fractional coordinates of all 4 atoms:
Pd 0.5000 0.5000 0.5000
Au 0.0000 0.0000 0.0000
Pm 0.7500 0.7500 0.7500
Ce 0.2500 0.2500 0.2500

Calculated values
Energy relative to the elements   -0.666 eV per atom
Crystal system   cubic
Calculated total energy   -5.455 eV per atom

***

# 8
Crystalline CePrPdAu at its relaxed geometry. Source: the Alexandria database, functional PBE.

abc: 3.8909 4.6566 5.9742
angles: 90.00 109.00 90.00
Fractional coordinates of all 4 atoms:
Pr 0.1415 0.0000 0.2830
Ce 0.8649 0.5000 0.7298
Pd 0.4102 0.0000 0.8205
Au 0.5834 0.5000 0.1667

Calculated values
Energy relative to the elements   -0.714 eV per atom
Crystal system   orthorhombic
Calculated total energy   -5.510 eV per atom